{"formula": "FeHg2F6", "functional": "PBE+U", "state": "relaxed", "cell": [[5.9612, 0.0000, -0.0066], [0.0000, 5.9246, 0.0000], [0.0049, 0.0000, 9.1714]], "species": ["Fe", "Fe", "Hg", "Hg", "Hg", "Hg", "F", "F", "F", "F", "F", "F", "F", "F", "F", "F", "F", "F"], "fractional_positions": [[0.5000, 0.5000, 0.0000], [0.0000, 0.0000, 0.5000], [0.9998, 0.4996, 0.7925], [0.5002, 0.9996, 0.7075], [0.4998, 0.0004, 0.2925], [0.0002, 0.5004, 0.2075], [0.8609, 0.8101, 0.3462], [0.8610, 0.8091, 0.6532], [0.7769, 0.6761, 0.9998], [0.7231, 0.1761, 0.5002], [0.6390, 0.3091, 0.8468], [0.6391, 0.3101, 0.1538], [0.1391, 0.1899, 0.6538], [0.1390, 0.1909, 0.3468], [0.2231, 0.3239, 0.0002], [0.2769, 0.8239, 0.4998], [0.3610, 0.6909, 0.1532], [0.3609, 0.6899, 0.8462]], "sg": "No. 58", "total_energy_ev_per_cell": -66.187}